[1]
Compound: ZrAlSe2
Source: Alexandria
Functional: PBE
Structure: optimized geometry

final energy	-21.8	eV for the cell shown
uncorrected formation energy	-635	meV per atom

a = 5.3473 Å, b = 5.3473 Å, c = 5.6963 Å
α = 116.72°, β = 116.72°, γ = 37.88°
With the nearest neighbours (Å) after each atom.
Element x y z (fractional)
Zr  0.0000  0.0000  0.0000  5 Se 2.69-2.99
Al  0.6928  0.6928  0.5132  3 Se 2.65-2.85
Se  0.2848  0.2848  0.9614  3 Zr 2.71-2.99, 2 Al 2.85
Se  0.4625  0.4625  0.6128  1 Al 2.65, 2 Zr 2.69

[2]
Compound: SnIrI2
Source: Alexandria
Functional: PBE
Structure: optimized geometry

final energy	-30.4	eV for the cell shown
distance to the lowest polymorph of the same formula	0.0	meV per atom
uncorrected formation energy	189	meV per atom

a = 7.7350 Å, b = 7.7350 Å, c = 7.7350 Å
α = 96.43°, β = 96.43°, γ = 140.91°
With the nearest neighbours (Å) after each atom.
Element x y z (fractional)
Sn  0.0000  0.0000  0.0000  2 Ir 2.59
Sn  0.7500  0.2500  0.5000  2 Ir 2.59
Ir  0.2500  0.7500  0.5000  2 Sn 2.59, 4 I 2.81
Ir  0.5000  0.5000  0.0000  2 Sn 2.59, 4 I 2.81
I  0.2860  0.1250  0.6610  2 Ir 2.81
I  0.3750  0.7140  0.8390  2 Ir 2.81
I  0.4640  0.6250  0.3390  2 Ir 2.81
I  0.8750  0.5360  0.1610  2 Ir 2.81

[3]
Compound: PuH3F8
Source: Alexandria
Functional: PBE
Structure: optimized geometry

final energy	-126.5	eV for the cell shown

a = 5.9074 Å, b = 5.9074 Å, c = 10.4364 Å
α = 90.00°, β = 90.00°, γ = 120.00°
With the nearest neighbours (Å) after each atom.
Element x y z (fractional)
Pu  0.3333  0.6667  0.0000  4 F 1.99-2.04
Pu  0.6667  0.3333  0.5000  4 F 1.99-2.04
H  0.0928  0.1856  0.6989  2 F 1.18
H  0.0928  0.9072  0.6989  2 F 1.18
H  0.1856  0.0928  0.1989  2 F 1.18
H  0.8144  0.9072  0.6989  2 F 1.18
H  0.9072  0.0928  0.1989  2 F 1.18
H  0.9072  0.8144  0.1989  2 F 1.18
F  0.0000  0.0000  0.4546  6 H 2.72-2.83, 12 F 2.88-3.02
F  0.0000  0.0000  0.9546  6 H 2.72-2.83, 12 F 2.88-3.02
F  0.0553  0.5276  0.5097  1 Pu 1.99
F  0.1295  0.2590  0.1996  2 H 1.18
F  0.1295  0.8705  0.1996  2 H 1.18
F  0.2590  0.1295  0.6996  2 H 1.18
F  0.3333  0.6667  0.8045  1 Pu 2.04
F  0.4724  0.5276  0.5097  1 Pu 1.99
F  0.4724  0.9447  0.5097  1 Pu 1.99
F  0.5276  0.0553  0.0097  1 Pu 1.99
F  0.5276  0.4724  0.0097  1 Pu 1.99
F  0.6667  0.3333  0.3045  1 Pu 2.04
F  0.7410  0.8705  0.1996  2 H 1.18
F  0.8705  0.1295  0.6996  2 H 1.18
F  0.8705  0.7410  0.6996  2 H 1.18
F  0.9447  0.4724  0.0097  1 Pu 1.99

[4]
Compound: Ac4In3Cu
Source: Alexandria
Functional: PBE
Structure: optimized geometry

final energy	-31.4	eV for the cell shown
formation energy from the elements	-0.331	eV per atom

a = 3.8898 Å, b = 3.8898 Å, c = 17.3424 Å
α = 90.00°, β = 90.00°, γ = 90.00°
With the nearest neighbours (Å) after each atom.
Element x y z (fractional)
Ac  0.0000  0.0000  0.1074  4 Cu 3.32, 4 In 3.55
Ac  0.0000  0.0000  0.3687  8 In 3.57-3.58, 4 Ac 3.89
Ac  0.0000  0.0000  0.6313  8 In 3.57-3.58, 4 Ac 3.89
Ac  0.0000  0.0000  0.8926  4 Cu 3.32, 4 In 3.55
In  0.5000  0.5000  0.2369  8 Ac 3.55-3.58, 4 In 3.89
In  0.5000  0.5000  0.5000  8 Ac 3.57, 4 In 3.89
In  0.5000  0.5000  0.7631  8 Ac 3.55-3.58, 4 In 3.89
Cu  0.5000  0.5000  0.0000  8 Ac 3.32

[5]
Compound: AgBPt3
Source: Alexandria
Functional: PBE
Structure: optimized geometry

final energy	-23.6	eV for the cell shown
distance to the lowest polymorph of the same formula	1032.0	meV per atom
formation energy from the elements	0.808	eV per atom

a = 4.2866 Å, b = 5.5482 Å, c = 5.5482 Å
α = 56.25°, β = 90.00°, γ = 90.00°
With the nearest neighbours (Å) after each atom.
Element x y z (fractional)
Ag  0.0000  0.0000  0.0000  2 B 2.16
B  0.5000  0.0229  0.0229  1 Pt 1.95, 2 Ag 2.16
Pt  0.0000  0.0000  0.4840  4 Pt 2.53-2.70, 1 Ag 2.69
Pt  0.0000  0.4840  0.0000  4 Pt 2.53-2.70, 1 Ag 2.69
Pt  0.5000  0.8239  0.8239  1 B 1.95

[6]
Compound: Y5ZrAs6
Source: Alexandria
Functional: PBE
Structure: optimized geometry

final energy	-86.6	eV for the cell shown
formation energy from the elements	-1.484	eV per atom

a = 7.0534 Å, b = 7.0534 Å, c = 7.0584 Å
α = 99.61°, β = 99.61°, γ = 119.96°
With the nearest neighbours (Å) after each atom.
Element x y z (fractional)
Y  0.0000  0.0000  0.0000  6 As 2.88-2.95
Y  0.1659  0.8341  0.5000  6 As 2.88-2.89
Y  0.3309  0.6691  0.0000  6 As 2.88-2.93
Y  0.6691  0.3309  0.0000  6 As 2.88-2.93
Y  0.8341  0.1659  0.5000  6 As 2.88-2.89
Zr  0.5000  0.5000  0.5000  6 As 2.81
As  0.0941  0.4189  0.2561  1 Zr 2.81, 5 Y 2.88-2.93
As  0.2578  0.2578  0.7459  1 Zr 2.81, 5 Y 2.89-2.95
As  0.4189  0.0941  0.2561  1 Zr 2.81, 5 Y 2.88-2.93
As  0.5811  0.9059  0.7439  1 Zr 2.81, 5 Y 2.88-2.93
As  0.7422  0.7422  0.2541  1 Zr 2.81, 5 Y 2.89-2.95
As  0.9059  0.5811  0.7439  1 Zr 2.81, 5 Y 2.88-2.93

[7]
Compound: NiBTe3
Source: Alexandria
Functional: PBE
Structure: optimized geometry

final energy	-16.2	eV for the cell shown
distance to the lowest polymorph of the same formula	104.0	meV per atom
uncorrected formation energy	1136	meV per atom

a = 5.0090 Å, b = 5.0090 Å, c = 5.0090 Å
α = 90.00°, β = 90.00°, γ = 90.00°
With the nearest neighbours (Å) after each atom.
Element x y z (fractional)
Ni  0.0000  0.0000  0.0000  6 Te 2.50
B  0.5000  0.5000  0.5000  12 Te 3.54
Te  0.0000  0.0000  0.5000  2 Ni 2.50
Te  0.0000  0.5000  0.0000  2 Ni 2.50
Te  0.5000  0.0000  0.0000  2 Ni 2.50

[8]
Compound: YFe2Tc
Source: Alexandria
Functional: PBE
Structure: optimized geometry

final energy	-32.5	eV for the cell shown
distance to the lowest polymorph of the same formula	188.0	meV per atom
formation energy from the elements	0.306	eV per atom

a = 2.9280 Å, b = 4.1013 Å, c = 5.6589 Å
α = 90.00°, β = 104.10°, γ = 90.00°
With the nearest neighbours (Å) after each atom.
Element x y z (fractional)
Y  0.0000  0.0000  0.0000  6 Fe 2.85-3.03, 2 Y 2.93, 2 Tc 3.03
Fe  0.5318  0.0000  0.4963  2 Fe 2.45, 2 Tc 2.45
Fe  0.6710  0.5000  0.2884  2 Tc 2.44-2.66, 2 Fe 2.45
Tc  0.2842  0.5000  0.6677  4 Fe 2.44-2.66

[9]
Compound: Sr2CaAu
Source: Alexandria
Functional: PBE
Structure: optimized geometry

final energy	-20.8	eV for the cell shown
distance to the lowest polymorph of the same formula	16.0	meV per atom
formation energy from the elements	-0.439	eV per atom

a = 4.2233 Å, b = 10.4297 Å, c = 7.2915 Å
α = 90.00°, β = 106.68°, γ = 90.00°
With the nearest neighbours (Å) after each atom.
Element x y z (fractional)
Sr  0.1419  0.0662  0.2824  3 Au 3.30-3.58
Sr  0.1419  0.4338  0.2824  3 Au 3.30-3.58
Sr  0.8581  0.5662  0.7176  3 Au 3.30-3.58
Sr  0.8581  0.9338  0.7176  3 Au 3.30-3.58
Ca  0.4155  0.2500  0.8316  2 Au 3.03-3.04
Ca  0.5845  0.7500  0.1684  2 Au 3.03-3.04
Au  0.2402  0.7500  0.4809  2 Ca 3.03-3.04, 4 Sr 3.30
Au  0.7598  0.2500  0.5191  2 Ca 3.03-3.04, 4 Sr 3.30

[10]
Compound: Ni3W
Source: Alexandria
Functional: PBE
Structure: optimized geometry

final energy	-30.2	eV for the cell shown
formation energy from the elements	0.028	eV per atom

a = 2.6375 Å, b = 4.1647 Å, c = 4.4474 Å
α = 90.00°, β = 90.00°, γ = 90.00°
With the nearest neighbours (Å) after each atom.
Element x y z (fractional)
Ni  0.0000  0.0000  0.0000  8 Ni 2.51-2.64, 4 W 2.58-2.59
Ni  0.0000  0.5000  0.3162  8 Ni 2.51-2.64, 4 W 2.60
Ni  0.5000  0.5000  0.8272  2 W 2.54, 10 Ni 2.54-2.64
W  0.5000  0.0000  0.5009  10 Ni 2.54-2.60, 2 W 2.64

[11]
Compound: Np2Pa2Te7
Source: Alexandria
Functional: PBE
Structure: optimized geometry

final energy	-74.9	eV for the cell shown
distance to the lowest polymorph of the same formula	0.0	meV per atom
uncorrected formation energy	-733	meV per atom

a = 9.6210 Å, b = 9.6210 Å, c = 9.6210 Å
α = 154.47°, β = 67.24°, γ = 118.98°
With the nearest neighbours (Å) after each atom.
Element x y z (fractional)
Np  0.0000  0.0000  0.0000  7 Te 3.07-3.26
Np  0.5500  0.0500  0.5000  8 Te 3.13-3.23
Pa  0.4660  0.2232  0.2428  7 Te 3.08-3.20
Pa  0.9804  0.2232  0.7572  7 Te 3.08-3.20
Te  0.1843  0.5406  0.6437  2 Np 3.16, 2 Pa 3.20
Te  0.2467  0.9267  0.3200  3 Pa 3.08-3.15, 1 Np 3.13
Te  0.3139  0.3139  0.0000  3 Np 3.07-3.14
Te  0.6067  0.9267  0.6800  3 Pa 3.08-3.15, 1 Np 3.13
Te  0.6089  0.7197  0.8893  2 Pa 3.17, 3 Np 3.23-3.26
Te  0.8304  0.7197  0.1107  2 Pa 3.17, 3 Np 3.23-3.26
Te  0.8969  0.5406  0.3563  2 Np 3.16, 2 Pa 3.20

Number 1: calculated volume 21.99 Å³/atom. Number 2: calculated volume 34.37 Å³/atom. Number 3: calculated volume 13.14 Å³/atom. Number 4: calculated volume 32.80 Å³/atom. Number 5: calculated volume 21.94 Å³/atom. Number 6: calculated volume 23.90 Å³/atom. Number 7: calculated volume 25.14 Å³/atom. Number 8: calculated volume 16.48 Å³/atom. Number 9: calculated volume 38.46 Å³/atom. Number 10: calculated volume 12.21 Å³/atom. Number 11: calculated volume 30.25 Å³/atom.